# 1
The following is a DFT calculation (PBE) of a relaxed In2NiRu crystal.

Results
ΔH_f (0 K), kJ/mol of formula units: 69

Cell: 3.081 3.081 7.542 Å, 90.00 90.00 90.00°
Space group P4mm (No. 99)
Unique sites:
In (0.000, 0.000, 0.000) x1
In (0.500, 0.500, 0.365) x1
Ni (0.000, 0.000, 0.587) x1
Ru (0.500, 0.500, 0.759) x1



# 2
The following is a DFT calculation (PBE) of a relaxed ThRe2BC crystal.

Results
ΔH_f (0 K), kJ/mol of formula units: -147

Cell: 3.807 10.791 7.228 Å, 90.00 90.00 90.00°
Space group Cmcm (No. 63)
Unique sites:
Th (0.000, 0.039, 0.250) x4
Re (0.000, 0.319, 0.062) x8
B (0.000, 0.236, 0.750) x4
C (0.000, 0.500, 0.000) x4



# 3
The following is a DFT calculation (PBE) of a relaxed PrDy2Y5Tm crystal.

Results
ΔH_f (0 K), kJ/mol of formula units: 241

Cell: 8.980 8.980 14.725 Å, 90.00 90.00 90.00°
Space group I4/mcm (No. 140)
Unique sites:
Pr (0.000, 0.000, 0.250) x4
Dy (0.112, 0.388, 0.000) x8
Y (0.000, 0.000, 0.000) x4
Y (0.205, 0.295, 0.368) x16
Tm (0.000, 0.500, 0.250) x4



# 4
The following is a DFT calculation (PBE) of a relaxed ThTlH crystal.

Cell: 9.354 4.195 6.467 Å, 90.00 90.00 90.00°
Space group Pnma (No. 62)
Unique sites:
Th (0.204, 0.250, 0.107) x4
Tl (0.017, 0.250, 0.668) x4
H (0.207, 0.750, 0.940) x4



# 5
The following is a DFT calculation (PBE) of a relaxed Li9Ca2Ac crystal.

Results
ΔH_f (0 K), kJ/mol of formula units: 27

Cell: 6.1966 6.1966 18.9084 Å, 90.00 90.00 120.00°
Space group P6_3/mmc (No. 194)
Unique sites:
Li (0.0000, 0.0000, 0.0000) x2
Li (0.0000, 0.0000, 0.2500) x2
Li (0.1677, 0.3354, 0.1272) x12
Li (0.3333, 0.6667, 0.2500) x2
Ca (0.3333, 0.6667, 0.5373) x4
Ac (0.3333, 0.6667, 0.7500) x2



no.,raw total energy (eV/cell)
1,-19.82
2,-198.95
3,-193.11
4,-56.25
5,-50.12